Li17Cl5O6: optimized geometry, GGA-PBE.

Cell: 3.8365 5.5705 16.6983 Å, 92.92 90.00 90.00°
Closest atoms and distances in Å follow each position.
Fractional positions:
O 0.5000 0.5140 0.9990  6 Li 1.92-1.98
O 0.5000 0.4648 0.6646  6 Li 1.92-2.02
O 0.5000 0.9406 0.5081  5 Li 1.86-1.94
O 0.5000 0.0418 0.1748  6 Li 1.91-2.10
O 0.5000 0.9916 0.8358  6 Li 1.92-2.04
O 0.5000 0.5648 0.3261  5 Li 1.85-1.96
Li 0.0000 0.9815 0.4995  2 O 1.94
Li 0.5000 0.6763 0.4358  2 O 1.86-1.91
Li 0.5000 0.3339 0.2404  2 O 1.88-1.91
Li 0.5000 0.2038 0.7395  2 O 1.97-2.04
Li 0.5000 0.2464 0.5644  2 O 1.90-2.02
Li 0.0000 0.5138 0.9975  2 O 1.92
Li 0.5000 0.2672 0.0778  2 O 1.95-2.10
Li 0.5000 0.7408 0.5950  2 O 1.87-1.97
Li 0.0000 0.9918 0.8281  2 O 1.92
Li 0.0000 0.5174 0.3447  2 O 1.96
Li 0.5000 0.2714 0.9084  2 O 1.93-1.98
Li 0.5000 0.7123 0.7541  2 O 1.98-2.02
Li 0.5000 0.7626 0.9186  2 O 1.93-1.98
Li 0.5000 0.8024 0.2524  2 O 1.85-1.91
Li 0.5000 0.7660 0.0855  2 O 1.96-2.09
Li 0.0000 0.0398 0.1603  2 O 1.93
Li 0.0000 0.4618 0.6624  2 O 1.92
Cl 0.0000 0.4927 0.8360  10 Li 2.61-2.89
Cl 0.0000 0.0123 0.0101  8 Li 2.51-2.78
Cl 0.0000 0.4414 0.4926  6 Li 2.53-2.57
Cl 0.0000 0.9608 0.6764  9 Li 2.53-2.81
Cl 0.0000 0.5360 0.1621  11 Li 2.61-2.82

Summary:
Space-group type: Pm, No. 6
Calculated total energy in eV per atom: -4.31

LiScMn2: optimized geometry, GGA-PBE.

Cell: 4.7577 4.7577 4.7577 Å, 128.92 128.92 75.15°
Closest atoms and distances in Å follow each position.
Fractional positions:
Mn 0.2500 0.7500 0.5000  4 Sc 2.79, 4 Mn 2.79, 4 Li 2.90
Mn 0.0000 0.0000 0.0000  4 Li 2.79, 4 Mn 2.79, 4 Sc 2.90
Sc 0.5000 0.5000 0.0000  8 Mn 2.79-2.90, 4 Li 2.79
Li 0.7500 0.2500 0.5000  8 Mn 2.79-2.90, 4 Sc 2.79

Summary:
Relative energy among the computed polymorphs in meV/atom: 139
Space-group type: I-4m2, No. 119
Formation energy in eV per atom: 0.301

PuTl2Zn2Te4: optimized geometry, GGA-PBE.

Cell: 4.3752 8.4834 8.3765 Å, 106.08 105.14 90.00°
Closest atoms and distances in Å follow each position.
Fractional positions:
Te 0.5169 0.7450 0.0339  1 Zn 2.68
Te 0.2064 0.1829 0.4129  3 Zn 2.73-2.78
Te 0.4831 0.2550 0.9661  1 Zn 2.68
Te 0.7936 0.8171 0.5871  3 Zn 2.73-2.78
Tl 0.1273 0.5504 0.2546  7 Te 3.52-3.69
Tl 0.8727 0.4496 0.7454  7 Te 3.52-3.69
Zn 0.6680 0.9820 0.3359  4 Te 2.68-2.78
Zn 0.3320 0.0180 0.6641  4 Te 2.68-2.78
Pu 0.0000 0.0000 0.0000  6 Te 3.14-3.25

Summary:
Space-group type: C2/m, No. 12
Calculated total energy in eV per atom: -4.30

Co2CuNi: optimized geometry, GGA-PBE.

Cell: 2.4711 2.4711 7.3363 Å, 90.00 90.00 90.00°
Closest atoms and distances in Å follow each position.
Fractional positions:
Ni 0.5000 0.5000 0.0000  4 Ni 2.47, 8 Co 2.50
Co 0.0000 0.0000 0.2434  4 Co 2.47, 4 Ni 2.50, 4 Cu 2.57
Co 0.0000 0.0000 0.7566  4 Co 2.47, 4 Ni 2.50, 4 Cu 2.57
Cu 0.5000 0.5000 0.5000  4 Cu 2.47, 8 Co 2.57

Summary:
Relative energy among the computed polymorphs in meV/atom: 75
Space-group type: P4/mmm, No. 123
Formation energy in eV per atom: 0.095

CsDyOs2O8: optimized geometry, GGA-PBE.

Cell: 6.0303 6.0303 8.5180 Å, 90.00 90.00 120.00°
Closest atoms and distances in Å follow each position.
Fractional positions:
O 0.3333 0.6667 0.9422  1 Os 1.77
O 0.8488 0.6602 0.3384  1 Os 1.82
O 0.8115 0.1512 0.3384  1 Os 1.82
O 0.6667 0.3333 0.0578  1 Os 1.77
O 0.6602 0.8115 0.6616  1 Os 1.82
O 0.3398 0.1885 0.3384  1 Os 1.82
O 0.1885 0.8488 0.6616  1 Os 1.82
O 0.1512 0.3398 0.6616  1 Os 1.82
Os 0.3333 0.6667 0.7342  4 O 1.77-1.82
Os 0.6667 0.3333 0.2658  4 O 1.77-1.82
Cs 0.0000 0.0000 0.0000  12 O 3.39-3.52
Dy 0.0000 0.0000 0.5000  6 O 2.25

Summary:
Space-group type: P-3, No. 147
Calculated total energy in eV per atom: -7.20

FeSi2Ru2: optimized geometry, GGA-PBE.

Cell: 6.8773 6.8773 2.8245 Å, 90.00 90.00 90.00°
Closest atoms and distances in Å follow each position.
Fractional positions:
Si 0.3442 0.1558 0.5000  6 Ru 2.41-2.50
Si 0.1558 0.6558 0.5000  6 Ru 2.41-2.50
Si 0.8442 0.3442 0.5000  6 Ru 2.41-2.50
Si 0.6558 0.8442 0.5000  6 Ru 2.41-2.50
Ru 0.1434 0.3566 0.0000  6 Si 2.41-2.50, 2 Fe 2.64
Ru 0.3566 0.8566 0.0000  6 Si 2.41-2.50, 2 Fe 2.64
Ru 0.8566 0.6434 0.0000  6 Si 2.41-2.50, 2 Fe 2.64
Ru 0.6434 0.1434 0.0000  6 Si 2.41-2.50, 2 Fe 2.64
Fe 0.5000 0.5000 0.0000  4 Ru 2.64, 2 Fe 2.82, 8 Si 2.96
Fe 0.0000 0.0000 0.0000  4 Ru 2.64, 2 Fe 2.82, 8 Si 2.96

Summary:
Space-group type: P4/mbm, No. 127
Calculated total energy in eV per atom: -7.64

AlTl2Cl5: optimized geometry, GGA-PBE.

Cell: 7.3121 7.3112 7.0504 Å, 121.24 121.25 89.99°
Closest atoms and distances in Å follow each position.
Fractional positions:
Cl 0.8083 0.2423 0.0506  1 Al 2.30
Cl 0.2423 0.8084 0.0507  1 Al 2.30
Cl 0.7463 0.7463 0.4925  1 Al 2.18
Cl 0.2422 0.2422 0.0504  1 Al 2.30
Cl 0.8082 0.8082 0.0504  1 Al 2.30
Tl 0.7282 0.2282 0.4564  4 Cl 3.25
Tl 0.2282 0.7282 0.4564  4 Cl 3.25
Al 0.9733 0.9734 0.9467  5 Cl 2.18-2.30

Summary:
Relative energy among the computed polymorphs in meV/atom: 41
Space-group type: I4mm, No. 107

Cs5Au2ClO: optimized geometry, GGA-PBE.

Cell: 5.7451 8.2135 10.0938 Å, 114.01 106.53 90.00°
Closest atoms and distances in Å follow each position.
Fractional positions:
Au 0.2054 0.2054 0.4108  7 Cs 3.60-3.83
Au 0.7946 0.7946 0.5892  7 Cs 3.60-3.83
Cs 0.3818 0.1272 0.7636  1 O 2.89
Cs 0.0000 0.0000 0.0000  2 O 2.87
Cs 0.6182 0.8728 0.2364  1 O 2.89
Cs 0.3818 0.6363 0.7636  1 O 2.89
Cs 0.6182 0.3637 0.2364  1 O 2.89
O 0.5000 0.0000 0.0000  6 Cs 2.87-2.89
Cl 0.0000 0.5000 0.0000  10 Cs 4.11

Summary:
Space-group type: Immm, No. 71
Calculated total energy in eV per atom: -2.83

BeTcNO2: optimized geometry, GGA-PBE.

Cell: 3.7831 3.7831 3.9876 Å, 90.00 90.00 90.00°
Closest atoms and distances in Å follow each position.
Fractional positions:
O 0.0000 0.5000 0.0000  2 Tc 1.89
O 0.5000 0.0000 0.0000  2 Tc 1.89
N 0.0000 0.0000 0.5000  2 Tc 1.99
Tc 0.0000 0.0000 0.0000  4 O 1.89, 2 N 1.99
Be 0.5000 0.5000 0.5000  4 N 2.68, 8 O 2.75

Summary:
Space-group type: P4/mmm, No. 123
Calculated total energy in eV per atom: -6.47

ScSe2SN: optimized geometry, GGA-PBE.

Cell: 5.2273 5.2273 3.9651 Å, 90.00 90.00 90.00°
Closest atoms and distances in Å follow each position.
Fractional positions:
Sc 0.0000 0.0000 0.0000  2 N 1.98
Se 0.5000 0.0000 0.0000  2 Sc 2.61
Se 0.0000 0.5000 0.0000  2 Sc 2.61
S 0.5000 0.5000 0.5000  8 Se 3.28
N 0.0000 0.0000 0.5000  2 Sc 1.98

Summary:
Relative energy among the computed polymorphs in meV/atom: 285
Space-group type: P4/mmm, No. 123

Ag2MoCl: optimized geometry, GGA-PBE.

Cell: 5.9567 5.9567 5.9567 Å, 142.25 142.25 54.45°
Closest atoms and distances in Å follow each position.
Fractional positions:
Ag 0.0000 0.0000 0.0000  4 Ag 2.73
Ag 0.5000 0.5000 0.0000  4 Ag 2.73
Cl 0.2500 0.7500 0.5000  4 Mo 2.73
Mo 0.7500 0.2500 0.5000  4 Cl 2.73

Summary:
Relative energy among the computed polymorphs in meV/atom: 612
Space-group type: I4/mmm, No. 139

Ce2MgGa7: optimized geometry, GGA-PBE.

Cell: 4.2730 4.2730 11.1837 Å, 90.00 90.00 90.00°
Closest atoms and distances in Å follow each position.
Fractional positions:
Ga 0.5000 0.5000 0.5000  4 Ga 2.61
Ga 0.0000 0.5000 0.8563  3 Ga 2.48-2.67, 2 Mg 2.67
Ga 0.0000 0.0000 0.0000  4 Ga 2.67
Ga 0.5000 0.0000 0.3653  5 Ga 2.48-2.61
Ga 0.0000 0.5000 0.6347  5 Ga 2.48-2.61
Ga 0.0000 0.0000 0.5000  4 Ga 2.61
Ga 0.5000 0.0000 0.1437  3 Ga 2.48-2.67, 2 Mg 2.67
Ce 0.0000 0.5000 0.2578  14 Ga 3.25-3.59, 2 Mg 3.59
Ce 0.5000 0.0000 0.7422  14 Ga 3.25-3.59, 2 Mg 3.59
Mg 0.5000 0.5000 0.0000  4 Ga 2.67

Summary:
Space-group type: P-4m2, No. 115
Formation energy in eV per atom: -0.411

Er4TmAs5: optimized geometry, GGA-PBE.

Cell: 5.7685 7.0650 7.0650 Å, 80.41 65.91 65.91°
Closest atoms and distances in Å follow each position.
Fractional positions:
As 0.1008 0.6008 0.1996  1 Tm 2.88, 5 Er 2.88-2.89
As 0.5011 0.0000 0.0000  4 Er 2.88, 2 Tm 2.88
As 0.9012 0.3992 0.8004  1 Tm 2.88, 5 Er 2.88-2.89
As 0.3004 0.8004 0.6008  1 Tm 2.88, 5 Er 2.88-2.89
As 0.7017 0.1996 0.3992  1 Tm 2.88, 5 Er 2.88-2.89
Er 0.2010 0.2002 0.3998  6 As 2.88-2.89
Er 0.6008 0.6002 0.2002  6 As 2.88-2.89
Er 0.8010 0.7998 0.6002  6 As 2.88-2.89
Er 0.4012 0.3998 0.7998  6 As 2.88-2.89
Tm 0.0011 0.0000 0.0000  6 As 2.88

Summary:
Space-group type: I4/m, No. 87
Formation energy in eV per atom: -1.518

Zr4IrPd: optimized geometry, GGA-PBE.

Cell: 6.4709 6.4722 6.5052 Å, 90.00 90.00 90.00°
Closest atoms and distances in Å follow each position.
Fractional positions:
Ir 0.0000 0.0000 0.0000  8 Zr 2.79
Ir 0.5000 0.5000 0.0000  8 Zr 2.79
Pd 0.0000 0.5000 0.5000  8 Zr 2.83
Pd 0.5000 0.0000 0.5000  8 Zr 2.83
Zr 0.2500 0.7500 0.2443  2 Ir 2.79, 2 Pd 2.83
Zr 0.7500 0.7500 0.7557  2 Ir 2.79, 2 Pd 2.83
Zr 0.2500 0.2500 0.2443  2 Ir 2.79, 2 Pd 2.83
Zr 0.7500 0.2500 0.2443  2 Ir 2.79, 2 Pd 2.83
Zr 0.2500 0.2500 0.7557  2 Ir 2.79, 2 Pd 2.83
Zr 0.2500 0.7500 0.7557  2 Ir 2.79, 2 Pd 2.83
Zr 0.7500 0.2500 0.7557  2 Ir 2.79, 2 Pd 2.83
Zr 0.7500 0.7500 0.2443  2 Ir 2.79, 2 Pd 2.83

Summary:
Relative energy among the computed polymorphs in meV/atom: 235
Space-group type: P4/mmm, No. 123
Formation energy in eV per atom: -0.330

HfNb2In: optimized geometry, GGA-PBE.

Cell: 5.4560 3.6765 5.4563 Å, 109.68 112.96 109.68°
Closest atoms and distances in Å follow each position.
Fractional positions:
In 0.7545 0.5000 0.2455  8 Nb 3.01-3.22, 4 Hf 3.05-3.19
Nb 0.2413 0.5000 0.7587  2 Nb 2.75, 2 Hf 2.90, 4 In 3.02
Nb 0.0169 0.0000 0.9831  2 Nb 2.75, 2 In 3.01, 4 Hf 3.02-3.03
Hf 0.4873 0.0000 0.5128  6 Nb 2.90-3.03, 4 In 3.05-3.19

Summary:
Space-group type: Imm2, No. 44
Formation energy in eV per atom: -0.006

KAsO3: optimized geometry, GGA-PBE.

Cell: 4.2891 4.2891 4.2891 Å, 90.00 90.00 90.00°
Closest atoms and distances in Å follow each position.
Fractional positions:
O 0.0000 0.0000 0.5000  2 K 2.14
O 0.5000 0.0000 0.0000  2 K 2.14
O 0.0000 0.5000 0.0000  2 K 2.14
As 0.5000 0.5000 0.5000  12 O 3.03
K 0.0000 0.0000 0.0000  6 O 2.14

Summary:
Space-group type: Pm-3m, No. 221
Calculated total energy in eV per atom: -2.93

TaMnSb2: optimized geometry, GGA-PBE.

Cell: 5.5544 5.5544 5.5544 Å, 142.97 129.97 63.85°
Closest atoms and distances in Å follow each position.
Fractional positions:
Sb 0.7441 0.2441 0.5000  4 Mn 2.94, 4 Ta 3.00-3.28, 4 Sb 3.14-3.17
Sb 0.0234 0.0234 0.0000  2 Mn 2.74, 4 Ta 2.96
Ta 0.4865 0.4865 0.0000  2 Mn 2.87, 6 Sb 2.96-3.00
Mn 0.2459 0.7459 0.5000  6 Sb 2.74-2.94, 2 Ta 2.87

Summary:
Relative energy among the computed polymorphs in meV/atom: 249
Space-group type: Imm2, No. 44

Ce5SiBi3: optimized geometry, GGA-PBE.

Cell: 6.4827 9.6244 9.6244 Å, 120.00 90.00 90.00°
Closest atoms and distances in Å follow each position.
Fractional positions:
Bi 0.2500 0.6130 0.0000  9 Ce 3.28-3.49
Bi 0.7500 0.6130 0.6130  9 Ce 3.28-3.49
Bi 0.7500 0.0000 0.3870  9 Ce 3.28-3.49
Bi 0.2500 0.0000 0.6130  9 Ce 3.28-3.49
Bi 0.2500 0.3870 0.3870  9 Ce 3.28-3.49
Bi 0.7500 0.3870 0.0000  9 Ce 3.28-3.49
Ce 0.0000 0.6667 0.3333  2 Ce 3.24, 6 Bi 3.40
Ce 0.2500 0.2529 0.0000  2 Si 2.92
Ce 0.5000 0.3333 0.6667  2 Ce 3.24, 6 Bi 3.40
Ce 0.0000 0.3333 0.6667  2 Ce 3.24, 6 Bi 3.40
Ce 0.2500 0.0000 0.2529  2 Si 2.92
Ce 0.7500 0.0000 0.7471  2 Si 2.92
Ce 0.2500 0.7471 0.7471  2 Si 2.92
Ce 0.5000 0.6667 0.3333  2 Ce 3.24, 6 Bi 3.40
Ce 0.7500 0.7471 0.0000  2 Si 2.92
Ce 0.7500 0.2529 0.2529  2 Si 2.92
Si 0.0000 0.0000 0.0000  6 Ce 2.92, 2 Si 3.24
Si 0.5000 0.0000 0.0000  6 Ce 2.92, 2 Si 3.24

Summary:
Space-group type: P6_3/mcm, No. 193
Calculated total energy in eV per atom: -5.92

Dy8Si3GeTe4: optimized geometry, GGA-PBE.

Cell: 8.4505 8.6069 8.4501 Å, 119.40 120.00 90.00°
Closest atoms and distances in Å follow each position.
Fractional positions:
Te 0.5000 0.0000 0.0000  6 Dy 3.14
Te 0.0000 0.0000 0.5000  6 Dy 3.15
Te 0.0000 0.0000 0.0000  6 Dy 3.15
Te 0.5000 0.0000 0.5000  6 Dy 3.15
Dy 0.7596 0.2807 0.0209  2 Si 2.89, 1 Ge 2.90, 3 Te 3.14-3.15
Dy 0.2404 0.7193 0.9791  2 Si 2.89, 1 Ge 2.90, 3 Te 3.14-3.15
Dy 0.7387 0.7193 0.9791  2 Si 2.89, 1 Ge 2.90, 3 Te 3.14-3.15
Dy 0.2613 0.2807 0.0209  2 Si 2.89, 1 Ge 2.90, 3 Te 3.14-3.15
Dy 0.7396 0.7187 0.4792  3 Si 2.89, 3 Te 3.15
Dy 0.2604 0.2813 0.5208  3 Si 2.89, 3 Te 3.15
Dy 0.2402 0.7189 0.4804  2 Si 2.89, 1 Ge 2.90, 3 Te 3.14-3.15
Dy 0.7598 0.2811 0.5196  2 Si 2.89, 1 Ge 2.90, 3 Te 3.14-3.15
Si 0.5000 0.5000 0.0000  6 Dy 2.89
Si 0.5000 0.5000 0.5000  6 Dy 2.89
Si 0.0000 0.5000 0.5000  6 Dy 2.89
Ge 0.0000 0.5000 0.0000  6 Dy 2.90

Summary:
Space-group type: R-3m, No. 166
Calculated total energy in eV per atom: -5.51

PmGa2Fe2P: optimized geometry, GGA-PBE.

Cell: 4.2433 4.2433 5.5783 Å, 90.00 90.00 90.00°
Closest atoms and distances in Å follow each position.
Fractional positions:
Pm 0.0000 0.0000 0.5000  2 P 2.79
P 0.0000 0.0000 0.0000  4 Fe 2.12
Fe 0.5000 0.0000 0.0000  2 P 2.12
Fe 0.0000 0.5000 0.0000  2 P 2.12
Ga 0.5000 0.5000 0.7346  4 Fe 2.59, 1 Ga 2.62
Ga 0.5000 0.5000 0.2654  4 Fe 2.59, 1 Ga 2.62

Summary:
Space-group type: P4/mmm, No. 123
Formation energy in eV per atom: -0.457

CoSeCl2: optimized geometry, GGA-PBE.

Cell: 9.9807 9.9807 9.9807 Å, 18.55 18.55 18.55°
Closest atoms and distances in Å follow each position.
Fractional positions:
Cl 0.5379 0.5379 0.5379  3 Co 2.29
Cl 0.9621 0.9621 0.9621  3 Co 2.29
Se 0.7500 0.7500 0.7500  6 Se 3.22
Co 0.2500 0.2500 0.2500  6 Cl 2.29

Summary:
Relative energy among the computed polymorphs in meV/atom: 234
Space-group type: R-3m, No. 166

HfGeSN2: optimized geometry, GGA-PBE.

Cell: 4.0943 4.0943 5.2475 Å, 90.00 90.00 90.00°
Closest atoms and distances in Å follow each position.
Fractional positions:
Ge 0.5000 0.5000 0.5000  4 S 2.90
N 0.0000 0.5000 0.0000  2 Hf 2.05
N 0.5000 0.0000 0.0000  2 Hf 2.05
S 0.0000 0.0000 0.5000  2 Hf 2.62, 4 Ge 2.90
Hf 0.0000 0.0000 0.0000  4 N 2.05

Summary:
Relative energy among the computed polymorphs in meV/atom: 0
Space-group type: P4/mmm, No. 123

Zn2CrMo: optimized geometry, GGA-PBE.

Cell: 4.2508 2.6453 5.0153 Å, 83.75 90.00 90.00°
Closest atoms and distances in Å follow each position.
Fractional positions:
Mo 0.5000 0.7063 0.7429  2 Cr 2.51, 3 Zn 2.60-2.76, 2 Mo 2.65
Cr 0.0000 0.5263 0.5045  2 Mo 2.51, 3 Zn 2.59-2.71, 2 Cr 2.65
Zn 0.0000 0.1158 0.9980  4 Zn 2.49-2.65, 1 Cr 2.59, 2 Mo 2.76
Zn 0.5000 0.1515 0.2545  4 Zn 2.49-2.65, 1 Mo 2.60, 2 Cr 2.71

Summary:
Relative energy among the computed polymorphs in meV/atom: 4
Space-group type: Pm, No. 6
Formation energy in eV per atom: 0.138

SnHgPb2I: optimized geometry, GGA-PBE.

Cell: 6.0697 5.9437 6.0697 Å, 90.00 90.00 90.00°
Closest atoms and distances in Å follow each position.
Fractional positions:
Hg 0.5000 0.5000 0.5000  8 Pb 4.25, 4 Sn 4.29
Sn 0.0000 0.5000 0.0000  2 I 2.97
Pb 0.5000 0.0000 0.0000  2 I 3.03
Pb 0.0000 0.0000 0.5000  2 I 3.03
I 0.0000 0.0000 0.0000  2 Sn 2.97, 4 Pb 3.03

Summary:
Space-group type: P4/mmm, No. 123
Calculated total energy in eV per atom: -1.97